A plane-wave DFT calculation with PBE was carried out for crystalline LaCeErAl at its relaxed geometry.

The total magnetization is 1.12 μB per cell. Its calculated formation energy is -0.01 eV/atom. As for the symmetry: No. 216.

Unit cell a=5.442 b=5.442 c=5.442 alpha=60.00 beta=60.00 gamma=60.00
Fractional coordinates of all 4 atoms:
1 La 0.500 0.500 0.500
2 Al 0.250 0.250 0.250
3 Er 0.750 0.750 0.750
4 Ce 0.000 0.000 0.000


A plane-wave DFT calculation with PBE was carried out for crystalline BaSeSCl2 at its relaxed geometry.

The value obtained for the distance to the lowest polymorph of the same formula is 0 meV/atom. The total magnetization is 0.00 μB per cell. As for the symmetry: No. 123.

Unit cell a=5.249 b=5.249 c=5.036 alpha=90.00 beta=90.00 gamma=90.00
Fractional coordinates of all 5 atoms:
1 Cl 0.000 0.500 0.000
2 Cl 0.500 0.000 0.000
3 Ba 0.500 0.500 0.500
4 S 0.000 0.000 0.500
5 Se 0.000 0.000 0.000


A plane-wave DFT calculation with PBE was carried out for crystalline Pm2PaSb at its relaxed geometry.

The value obtained for the distance to the lowest polymorph of the same formula is 11 meV/atom. The total magnetization is 0.00 μB per cell. As for the symmetry: No. 123.

Unit cell a=3.948 b=3.948 c=7.350 alpha=90.00 beta=90.00 gamma=90.00
Fractional coordinates of all 4 atoms:
1 Sb 0.500 0.500 0.500
2 Pm 0.000 0.000 0.728
3 Pm 0.000 0.000 0.272
4 Pa 0.500 0.500 0.000


A plane-wave DFT calculation with PBE was carried out for crystalline LiCrTc2 at its relaxed geometry.

The value obtained for the distance to the lowest polymorph of the same formula is 129 meV/atom. The total magnetization is 2.55 μB per cell. Its calculated formation energy is 0.31 eV/atom. As for the symmetry: No. 99.

Unit cell a=3.041 b=3.041 c=5.897 alpha=90.00 beta=90.00 gamma=90.00
Fractional coordinates of all 4 atoms:
1 Li 0.500 0.500 0.747
2 Tc 0.500 0.500 0.244
3 Tc 0.000 0.000 0.997
4 Cr 0.000 0.000 0.512


A plane-wave DFT calculation with PBE was carried out for crystalline TaTcW2 at its relaxed geometry.

The value obtained for the distance to the lowest polymorph of the same formula is 420 meV/atom. The total magnetization is 0.00 μB per cell. Its calculated formation energy is 0.26 eV/atom. As for the symmetry: No. 160.

Unit cell a=8.645 b=8.645 c=8.645 alpha=20.07 beta=20.07 gamma=20.07
Fractional coordinates of all 4 atoms:
1 Tc 0.749 0.749 0.749
2 W 0.252 0.252 0.252
3 W 0.000 0.000 0.000
4 Ta 0.499 0.499 0.499


A plane-wave DFT calculation with PBE was carried out for crystalline Cd2AsPd2 at its relaxed geometry.

The value obtained for the distance to the lowest polymorph of the same formula is 64 meV/atom. The total magnetization is 0.00 μB per cell. Its calculated formation energy is -0.24 eV/atom. As for the symmetry: No. 127.

Unit cell a=6.675 b=6.675 c=4.216 alpha=90.00 beta=90.00 gamma=90.00
Fractional coordinates of all 10 atoms:
1 Pd 0.846 0.654 0.000
2 Pd 0.154 0.346 0.000
3 Pd 0.654 0.154 0.000
4 Pd 0.346 0.846 0.000
5 Cd 0.346 0.154 0.500
6 Cd 0.154 0.654 0.500
7 Cd 0.846 0.346 0.500
8 Cd 0.654 0.846 0.500
9 As 0.500 0.500 0.000
10 As 0.000 0.000 0.000


A plane-wave DFT calculation with PBE was carried out for crystalline Sm3Mg7Zn2 at its relaxed geometry.

The total magnetization is 0.00 μB per cell. Its calculated formation energy is -0.12 eV/atom. As for the symmetry: No. 166.

Unit cell a=5.996 b=5.996 c=10.032 alpha=72.61 beta=72.61 gamma=60.00
Fractional coordinates of all 12 atoms:
1 Sm 0.000 0.000 0.000
2 Sm 0.857 0.857 0.428
3 Sm 0.143 0.143 0.572
4 Mg 0.420 0.925 0.234
5 Mg 0.580 0.580 0.766
6 Mg 0.420 0.420 0.234
7 Mg 0.580 0.075 0.766
8 Mg 0.075 0.580 0.766
9 Mg 0.925 0.420 0.234
10 Mg 0.500 0.500 0.500
11 Zn 0.334 0.334 0.998
12 Zn 0.666 0.666 0.002


A plane-wave DFT calculation with PBE was carried out for crystalline Zn5CoCu4 at its relaxed geometry.

The total magnetization is 0.00 μB per cell. Its calculated formation energy is -0.07 eV/atom. As for the symmetry: No. 123.

Unit cell a=2.833 b=2.833 c=15.951 alpha=90.00 beta=90.00 gamma=90.00
Fractional coordinates of all 10 atoms:
1 Co 0.000 0.000 0.000
2 Zn 0.500 0.500 0.704
3 Zn 0.500 0.500 0.908
4 Zn 0.500 0.500 0.296
5 Zn 0.500 0.500 0.500
6 Zn 0.500 0.500 0.092
7 Cu 0.000 0.000 0.398
8 Cu 0.000 0.000 0.194
9 Cu 0.000 0.000 0.806
10 Cu 0.000 0.000 0.602


A plane-wave DFT calculation with PBE was carried out for crystalline Mn2ReSb at its relaxed geometry.

The final energy is -8.43 eV per atom. The total magnetization is 5.30 μB per cell. As for the symmetry: No. 123.

Unit cell a=3.905 b=3.905 c=3.936 alpha=90.00 beta=90.00 gamma=90.00
Fractional coordinates of all 4 atoms:
1 Sb 0.000 0.500 0.500
2 Mn 0.000 0.000 0.000
3 Mn 0.500 0.500 0.000
4 Re 0.500 0.000 0.500


A plane-wave DFT calculation with PBE was carried out for crystalline HoErRu at its relaxed geometry.

The value obtained for the distance to the lowest polymorph of the same formula is 59 meV/atom. The total magnetization is 0.00 μB per cell. Its calculated formation energy is -0.32 eV/atom. As for the symmetry: No. 70.

Unit cell a=6.711 b=6.711 c=8.229 alpha=114.15 beta=114.14 gamma=89.82
Fractional coordinates of all 12 atoms:
1 Ho 0.912 0.837 0.749
2 Ho 0.413 0.838 0.751
3 Ho 0.162 0.587 0.249
4 Ho 0.163 0.088 0.251
5 Er 0.662 0.587 0.249
6 Er 0.663 0.088 0.251
7 Er 0.413 0.338 0.751
8 Er 0.912 0.337 0.749
9 Ru 0.037 0.462 0.500
10 Ru 0.787 0.712 0.000
11 Ru 0.538 0.963 0.500
12 Ru 0.288 0.213 0.000


A plane-wave DFT calculation with PBE was carried out for crystalline KLiRe2 at its relaxed geometry.

The value obtained for the distance to the lowest polymorph of the same formula is 540 meV/atom. The total magnetization is 0.00 μB per cell. Its calculated formation energy is 1.16 eV/atom. As for the symmetry: No. 44.

Unit cell a=5.863 b=5.863 c=5.863 alpha=145.66 beta=122.42 gamma=68.79
Fractional coordinates of all 4 atoms:
1 Re 0.197 0.697 0.500
2 Re 0.039 0.039 0.000
3 Li 0.771 0.271 0.500
4 K 0.494 0.494 0.000


A plane-wave DFT calculation with PBE was carried out for crystalline Na3Tl7Sb2 at its relaxed geometry.

The final energy is -2.51 eV per atom. The total magnetization is 0.00 μB per cell. As for the symmetry: No. 2.

Unit cell a=8.200 b=7.040 c=18.413 alpha=63.01 beta=153.81 gamma=127.79
Fractional coordinates of all 12 atoms:
1 Tl 0.119 0.228 0.351
2 Tl 0.262 0.754 0.004
3 Tl 0.738 0.246 0.996
4 Tl 0.000 0.000 0.000
5 Tl 0.575 0.737 0.336
6 Tl 0.881 0.772 0.649
7 Tl 0.425 0.263 0.664
8 Sb 0.671 0.989 0.683
9 Sb 0.329 0.011 0.317
10 Na 0.500 0.500 0.000
11 Na 0.873 0.536 0.343
12 Na 0.127 0.464 0.657